# 1
DFT (PBE) results for a geometry-optimized AlNi12 structure.

## Properties
* magnetic moment: 15.2 μB/cell

Cell: 4.5895 4.5895 24.1658 Å, 90.00 90.00 120.00°
With the nearest neighbours (Å) after each atom.
Space group R-3m (No. 166, hexagonal axes)
Asymmetric unit:
Al: 0.0000 0.0000 0.0000 [3 per cell]  6 Ni 2.35
Ni: 0.0000 0.0000 0.1650 [6 per cell]  9 Ni 2.46-2.65
Ni: 0.0000 0.0000 0.3484 [6 per cell]  13 Ni 2.53-2.78, 3 Al 2.67
Ni: 0.0000 0.0000 0.4530 [6 per cell]  8 Ni 2.27-2.53
Ni: 0.0041 0.5020 0.4129 [18 per cell]  8 Ni 2.27-2.51, 1 Al 2.35

# 2
DFT (PBE) results for a geometry-optimized Al3Ni10 structure.

## Properties
* magnetic moment: 0.1 μB/cell
* excess energy over the best structure of this formula in the dataset: 0 meV per atom

Cell: 4.6902 4.6902 23.9126 Å, 90.00 90.00 120.00°
With the nearest neighbours (Å) after each atom.
Space group R-3m (No. 166, hexagonal axes)
Asymmetric unit:
Al: 0.0000 0.0000 0.0000 [3 per cell]  6 Ni 2.37
Al: 0.0000 0.0000 0.1652 [6 per cell]  6 Ni 2.45-2.48, 3 Al 2.71
Ni: 0.0000 0.0000 0.3495 [6 per cell]  4 Ni 2.43-2.67
Ni: 0.0000 0.0000 0.4510 [6 per cell]  8 Ni 2.34-2.51
Ni: 0.0055 0.5027 0.4139 [18 per cell]  6 Ni 2.31-2.51, 3 Al 2.37-2.48

# 3
DFT (PBE) results for a geometry-optimized Al4Ni9 structure.

## Properties
* magnetic moment: 0.0 μB/cell
* excess energy over the best structure of this formula in the dataset: 0 meV per atom

Cell: 4.7527 4.7527 23.7558 Å, 90.00 90.00 120.00°
With the nearest neighbours (Å) after each atom.
Space group R-3m (No. 166, hexagonal axes)
Asymmetric unit:
Al: 0.0000 0.0000 0.1486 [6 per cell]  1 Ni 2.37
Al: 0.0000 0.0000 0.3344 [6 per cell]  6 Ni 2.46-2.49, 3 Al 2.74
Ni: 0.0000 0.0000 0.0489 [6 per cell]  7 Ni 2.32-2.54, 1 Al 2.37
Ni: 0.0000 0.0000 0.5000 [3 per cell]  6 Ni 2.35
Ni: 0.0047 0.5023 0.9133 [18 per cell]  7 Ni 2.34-2.54, 2 Al 2.46-2.49

# 4
DFT (PBE) results for a geometry-optimized Al7Ni8 structure.

## Properties
* magnetic moment: 0.0 μB/cell
* excess energy over the best structure of this formula in the dataset: 106 meV per atom

Cell: 8.7197 8.7197 4.8616 Å, 90.00 90.00 90.00°
With the nearest neighbours (Å) after each atom.
Space group P4_2/mnm (No. 136)
Asymmetric unit:
Al: 0.0000 0.0000 0.0000 [2 per cell]  4 Ni 2.33
Al: 0.1051 0.1051 0.5000 [4 per cell]  2 Ni 2.33, 1 Al 2.59
Al: 0.1992 0.8008 0.2512 [8 per cell]  3 Al 2.42-2.70, 6 Ni 2.52-2.71
Ni: 0.0306 0.3617 0.5000 [8 per cell]  1 Al 2.33, 5 Ni 2.45-2.59
Ni: 0.0506 0.2619 0.0000 [8 per cell]  5 Al 2.33-2.56, 4 Ni 2.45-2.59

# 5
DFT (PBE) results for a geometry-optimized Al3Ni10 structure.

## Properties
* magnetic moment: 1.5 μB/cell
* excess energy over the best structure of this formula in the dataset: 74 meV per atom

Cell: 4.7207 4.7207 23.7253 Å, 90.00 90.00 120.00°
With the nearest neighbours (Å) after each atom.
Space group R-3m (No. 166, hexagonal axes)
Asymmetric unit:
Al: 0.0000 0.0000 0.0000 [3 per cell]  6 Ni 2.31
Al: 0.0000 0.0000 0.3532 [6 per cell]  1 Ni 2.35
Ni: 0.0000 0.0000 0.1656 [6 per cell]  9 Ni 2.50-2.73
Ni: 0.0000 0.0000 0.4524 [6 per cell]  1 Ni 2.26, 1 Al 2.35
Ni: 0.0053 0.5027 0.4113 [18 per cell]  1 Al 2.31, 8 Ni 2.32-2.55

# 6
DFT (PBE) results for a geometry-optimized Al4Ni3 structure.

## Properties
* magnetic moment: 0.0 μB/cell

Cell: 11.3928 11.3928 11.3928 Å, 90.00 90.00 90.00°
With the nearest neighbours (Å) after each atom.
Space group Ia-3d (No. 230)
Asymmetric unit:
Al: 0.0000 0.0000 0.0000 [16 per cell]  6 Ni 2.47
Al: 0.0000 0.2500 0.0090 [48 per cell]  6 Ni 2.44-2.53, 1 Al 2.64
Ni: 0.1187 0.1250 0.8687 [48 per cell]  8 Al 2.44-2.53

# 7
DFT (PBE) results for a geometry-optimized Al14Ni structure.

## Properties
* magnetic moment: 0.0 μB/cell

Cell: 9.6912 9.6912 5.1387 Å, 90.00 90.00 90.00°
With the nearest neighbours (Å) after each atom.
Space group P4_2/mnm (No. 136)
Asymmetric unit:
Al: 0.0435 0.3673 0.0000 [8 per cell]  6 Al 2.68-2.85
Al: 0.0652 0.2570 0.5000 [8 per cell]  1 Ni 2.57, 7 Al 2.63-2.85
Al: 0.0962 0.0962 0.0000 [4 per cell]  3 Al 2.64-2.68, 2 Ni 2.89
Al: 0.1760 0.8240 0.2489 [8 per cell]  4 Al 2.56-2.78, 1 Ni 2.74
Ni: 0.0000 0.0000 0.5000 [2 per cell]  8 Al 2.57-2.74

# 8
DFT (PBE) results for a geometry-optimized Al16Ni13 structure.

## Properties
* magnetic moment: 0.0 μB/cell
* excess energy over the best structure of this formula in the dataset: 54 meV per atom

Cell: 9.0813 9.0813 9.0813 Å, 90.00 90.00 90.00°
With the nearest neighbours (Å) after each atom.
Space group I-43m (No. 217)
Asymmetric unit:
Al: 0.0998 0.0998 0.6942 [24 per cell]  5 Ni 2.35-2.50, 1 Al 2.56
Al: 0.1753 0.1753 0.1753 [8 per cell]  3 Ni 2.46
Ni: 0.0000 0.0000 0.0000 [2 per cell]  16 Al 2.76-3.06
Ni: 0.0593 0.3626 0.6374 [24 per cell]  6 Al 2.35-2.50

no.,E (eV per atom)
1,-5.393
2,-5.351
3,-5.307
4,-5.037
5,-5.278
6,-5.161
7,-3.880
8,-4.939